Computed, not measured: a geometry-optimized ZnInHg4 structure at the GGA-PBE level of DFT.

Cell and atoms, written as extended XYZ:
```
6
Lattice="0.000 4.341 4.341 4.341 0.000 4.341 4.341 4.341 0.000" Properties=species:S:1:pos:R:3 pbc="T T T"
Zn 0.000 0.000 0.000
In 6.512 6.512 6.512
Hg 3.254 5.429 5.429
Hg 5.429 5.429 3.254
Hg 5.429 3.254 5.429
Hg 3.254 3.254 3.254
```

Results
Space-group type   No. 216
Crystal system   cubic
Energy   -0.6848 eV/atom